Compound: Be2Zn3Au4
Source: the Alexandria database
Functional: PBE
Structure: optimized geometry

Computed properties:
For the density of states at the Fermi level, the calculation gives 2.0 states/eV/cell. The value obtained for the formation energy is -0.120 eV/atom. The magnetization is 0.00 μB/cell. The value obtained for the theoretical density is 12.28 g cm⁻³. For the total DFT energy (no corrections), the calculation gives -25.5 eV/cell.

The structure in POSCAR format:
```
Be2Zn3Au4
1.0
3.770 0.000 0.000
1.885 4.214 0.734
0.000 -0.597 8.425
Au Zn Be
4 3 2
Cartesian
1.884 3.574 3.423
3.769 0.044 5.737
1.885 1.441 1.369
3.769 2.177 7.791
1.885 0.994 4.007
0.000 0.000 0.000
3.769 2.624 5.153
1.884 0.552 7.219
3.769 3.066 1.941
```

=====

Compound: Be2ZnAu
Source: the Alexandria database
Functional: PBE
Structure: optimized geometry

Computed properties:
For the density of states at the Fermi level, the calculation gives 2.1 states/eV/cell. The value obtained for the formation energy is 0.243 eV/atom. The magnetization is 0.00 μB/cell. The value obtained for the theoretical density is 8.92 g cm⁻³. For the total DFT energy (no corrections), the calculation gives -11.0 eV/cell.

The structure in POSCAR format:
```
Be2ZnAu
1.0
7.927 -0.012 -0.007
7.442 2.731 -0.007
7.442 1.316 2.393
Au Be Zn
1 2 1
Cartesian
17.108 3.026 1.784
22.785 4.031 2.376
11.430 2.022 1.192
5.703 1.009 0.595
```

=====

- Number 2 is which compound?
  Be2ZnAu